VASP calculation (GGA-PBE) on a relaxed structure of Pr5Dy3Tm4.

Values from the calculation:
- ρ (g/cm³) = 7.72
- M_tot (μB per atom) = 0.027
- space group = C2/m
- ΔH_f (0 K) (eV/atom) = 0.2254
- V (Å³/atom) = 33.50

a b c (Å): 5.5554 6.3990 19.1058
angles (deg): 127.11 81.64 64.27
Atoms (fractional coordinates):
Pr  0.4570  0.6977  0.3883
Pr  0.5000  0.5000  0.5000
Pr  0.2880  0.3895  0.0345
Pr  0.7120  0.6105  0.9655
Pr  0.5430  0.3023  0.6117
Dy  0.6168  0.9967  0.7697
Dy  0.0000  0.5000  0.5000
Dy  0.3832  0.0033  0.2303
Tm  0.1563  0.8111  0.8764
Tm  0.9943  0.2855  0.7259
Tm  0.0057  0.7145  0.2741
Tm  0.8437  0.1889  0.1236

***

VASP calculation (GGA-PBE) on a relaxed structure of Pr11Dy9Tm4.

Values from the calculation:
- ρ (g/cm³) = 7.56
- M_tot (μB per atom) = 0.000
- space group = Cmmm
- ΔH_f (0 K) (eV/atom) = 0.0552
- V (Å³/atom) = 33.76

a b c (Å): 3.6650 15.5076 15.5076
angles (deg): 113.18 90.00 90.00
Atoms (fractional coordinates):
Pr  0.0000  0.5953  0.9573
Pr  0.0000  0.4047  0.0427
Pr  0.0000  0.9573  0.5953
Pr  0.0000  0.0427  0.4047
Pr  0.0000  0.6311  0.3689
Pr  0.0000  0.3689  0.6311
Pr  0.0000  0.8395  0.1605
Pr  0.0000  0.1605  0.8395
Pr  0.0000  0.0000  0.0000
Pr  0.0000  0.7065  0.7065
Pr  0.0000  0.2935  0.2935
Dy  0.5000  0.6298  0.1662
Dy  0.5000  0.3702  0.8338
Dy  0.5000  0.1662  0.6298
Dy  0.5000  0.8338  0.3702
Dy  0.5000  0.7858  0.9310
Dy  0.5000  0.2142  0.0690
Dy  0.5000  0.9310  0.7858
Dy  0.5000  0.0690  0.2142
Dy  0.5000  0.5000  0.5000
Tm  0.5000  0.5554  0.7595
Tm  0.5000  0.4446  0.2405
Tm  0.5000  0.7595  0.5554
Tm  0.5000  0.2405  0.4446